4
Lattice="-2.773 -0.751 -0.774 -0.084 -1.979 2.220 -2.927 5.693 4.963" Properties=species:S:1:pos:R:3 comment="meta-GGA SCAN InSbRu2, single point on PBEsol structure" formation_energy_uncorrected_ev_per_atom=0.220 n_ef_per_ev_atom=0.90 pbc="T T T"
In -3.760 3.170 4.677
Ru -0.085 0.165 0.144
Ru -2.083 -0.093 1.832
Sb -1.320 2.567 2.238

=====

5
Lattice="-3.929 -0.761 -1.583 0.925 -4.194 -0.279 -1.871 -0.745 5.001" Properties=species:S:1:pos:R:3 comment="meta-GGA SCAN NaLaInH2, single point on PBEsol structure" n_ef_per_ev_atom=0.46 pbc="T T T"
Na -0.935 -0.373 2.501
In 0.000 0.000 0.000
H 0.462 -2.097 -0.140
H -1.965 -0.380 -0.791
La -2.438 -2.850 1.570

=====

4
Lattice="-2.801 -1.517 0.122 2.259 -4.142 0.374 -0.021 0.436 4.952" Properties=species:S:1:pos:R:3 comment="meta-GGA SCAN Cd2IrBr, single point on PBEsol structure" formation_energy_uncorrected_ev_per_atom=0.280 e_above_lowest_polymorph_ev_per_atom=0.000 n_ef_per_ev_atom=0.53 pbc="T T T"
Ir -1.413 -0.509 2.889
Br -0.275 -2.742 1.234
Cd -0.001 0.023 0.265
Cd 1.115 -1.776 3.536

=====

4
Lattice="-0.111 2.462 1.737 -2.324 1.906 -0.233 -4.654 -2.563 5.953" Properties=species:S:1:pos:R:3 comment="meta-GGA SCAN Ta2CoTc, single point on PBEsol structure" formation_energy_ev_per_atom=0.1403 e_above_lowest_polymorph_ev_per_atom=0.527 n_ef_per_ev_atom=0.66 pbc="T T T"
Co 0.000 0.000 0.000
Ta -1.726 0.499 1.799
Ta -5.363 1.305 5.658
Tc -3.545 0.902 3.728

=====

4
Lattice="-2.745 3.090 -3.176 -3.875 0.139 3.484 5.284 2.238 1.889" Properties=species:S:1:pos:R:3 comment="meta-GGA SCAN Ba2CrPb, single point on PBEsol structure" formation_energy_ev_per_atom=-0.0810 n_ef_per_ev_atom=0.54 pbc="T T T"
Ba 0.000 0.000 0.000
Ba -0.385 3.472 -0.567
Cr -3.310 1.615 0.154
Pb -0.950 1.996 2.763

=====

5
Lattice="-1.557 2.203 -1.999 -3.245 -2.697 -0.444 -1.897 1.727 3.380" Properties=species:S:1:pos:R:3 comment="meta-GGA SCAN Si2PHRh, single point on PBEsol structure" n_ef_per_ev_atom=0.35 pbc="T T T"
P -3.350 0.616 0.468
Si -0.949 0.863 1.690
Si -1.623 -1.349 -0.222
Rh -0.779 1.101 -1.000
H 0.000 0.000 0.000

=====

4
Lattice="3.165 0.000 0.000 0.000 3.165 0.000 0.000 0.000 5.649" Properties=species:S:1:pos:R:3 comment="meta-GGA SCAN CuRe2W, single point on PBEsol structure" formation_energy_ev_per_atom=0.2885 n_ef_per_ev_atom=0.79 pbc="T T T"
Cu 1.582 1.582 4.244
Re 0.000 0.000 5.537
Re 1.582 1.582 1.408
W 0.000 0.000 2.931

=====

5
Lattice="4.168 0.000 0.000 0.000 4.168 0.000 0.000 0.000 4.168" Properties=species:S:1:pos:R:3 comment="meta-GGA SCAN SbMo3C, single point on PBEsol structure" formation_energy_uncorrected_ev_per_atom=0.244 n_ef_per_ev_atom=0.49 pbc="T T T"
Sb 2.084 2.084 2.084
Mo 0.000 2.084 0.000
Mo 0.000 0.000 2.084
Mo 2.084 0.000 0.000
C 0.000 0.000 0.000

=====

Number 1: VASP energy -34.86 eV/atom, magnetic moment 0.00 μB per formula unit. Number 2: VASP energy -17.00 eV/atom, magnetic moment 0.01 μB per formula unit. Number 3: VASP energy -37.57 eV/atom, magnetic moment 0.00 μB per formula unit. Number 4: VASP energy -46.24 eV/atom, magnetic moment 0.00 μB per formula unit. Number 5: VASP energy -43.40 eV/atom, magnetic moment 5.12 μB per formula unit. Number 6: VASP energy -13.04 eV/atom, magnetic moment 0.00 μB per formula unit. Number 7: VASP energy -56.48 eV/atom, magnetic moment 0.00 μB per formula unit. Number 8: VASP energy -30.16 eV/atom, magnetic moment 0.00 μB per formula unit.